Mn2VBr | PBE | optimized geometry

Calculated values
M_tot = 0.18 Bohr magnetons per cell
Fermi-level density of states = 0.81 states/eV per atom
ΔE_f (raw) = 0.878 eV per atom
Electronic total energy = -25.62 eV for the cell shown

Cell and atoms, written as extended XYZ:
```
4
Lattice="0.0000 2.9610 2.9610 2.9610 0.0000 2.9610 2.9610 2.9610 0.0000" Properties=species:S:1:pos:R:3 pbc="T T T"
Mn 4.4415 4.4415 4.4415
Mn 1.4805 1.4805 1.4805
Br 2.9610 2.9610 2.9610
V 0.0000 0.0000 0.0000
```



LiY3Ga12 | PBE | optimized geometry

Calculated values
M_tot = 0.00 Bohr magnetons per cell
Fermi-level density of states = 0.30 states/eV per atom
Electronic total energy = -64.67 eV for the cell shown
Formation energy = -0.4403 eV/atom

Cell and atoms, written as extended XYZ:
```
16
Lattice="4.2615 0.0000 0.0000 0.0000 4.2615 0.0000 0.0000 0.0000 16.7055" Properties=species:S:1:pos:R:3 pbc="T T T"
Ga 2.1308 2.1308 8.3528
Ga 2.1308 0.0000 10.5193
Ga 2.1308 2.1308 12.5278
Ga 2.1308 0.0000 1.8268
Ga 2.1308 0.0000 14.8787
Ga 2.1308 2.1308 0.0000
Ga 0.0000 2.1308 10.5193
Ga 0.0000 2.1308 6.1862
Ga 0.0000 2.1308 1.8268
Ga 2.1308 0.0000 6.1862
Ga 2.1308 2.1308 4.1777
Ga 0.0000 2.1308 14.8787
Y 0.0000 0.0000 12.6959
Y 0.0000 0.0000 8.3528
Y 0.0000 0.0000 4.0096
Li 0.0000 0.0000 0.0000
```



Hf2GeMoAs | PBE | optimized geometry

Calculated values
M_tot = 0.00 Bohr magnetons per cell
Fermi-level density of states = 0.90 states/eV per atom
Electronic total energy = -37.02 eV for the cell shown
Formation energy = 0.5966 eV/atom

Cell and atoms, written as extended XYZ:
```
5
Lattice="-2.1422 3.3509 3.0428 -4.2868 -1.4337 -1.4392 -0.0971 -3.3997 3.6755" Properties=species:S:1:pos:R:3 pbc="T T T"
Ge -2.1434 -0.7168 -0.7196
Hf -1.0711 1.6755 1.5214
Hf -0.0485 -1.6998 1.8378
Mo 0.0000 0.0000 0.0000
As -3.2631 -0.7412 2.6396
```



Ba2PaCuTe5 | PBE | optimized geometry

Calculated values
M_tot = 0.15 Bohr magnetons per cell
Fermi-level density of states = 0.10 states/eV per atom
ΔE_f (raw) = -1.126 eV per atom
Electronic total energy = -86.56 eV for the cell shown

Cell and atoms, written as extended XYZ:
```
18
Lattice="-1.9491 -0.9634 -4.0044 0.8984 -9.3573 4.4063 -12.5906 1.5063 5.7659" Properties=species:S:1:pos:R:3 pbc="T T T"
Cu -5.5849 -7.6294 4.5539
Cu -12.8026 -0.6172 3.7876
Te -8.3836 -4.7863 5.2321
Te -7.7909 -8.4297 3.2277
Te -7.3968 -2.7366 1.6663
Te -3.6423 -9.3217 4.0155
Te -0.1564 -6.8061 1.7135
Te -10.8374 0.6076 2.5364
Te -0.4617 -1.0294 0.4724
Te -4.6658 -5.3584 3.5601
Te -11.9203 -3.1037 3.9563
Te -3.0494 -4.2922 -0.0755
Pa -7.5092 -5.6473 2.4212
Pa -0.2236 -3.8740 1.0408
Ba -4.0538 -1.7986 2.4059
Ba -11.3645 -6.8031 4.5758
Ba -8.7395 -1.1606 4.5331
Ba -3.4608 -7.8261 0.9749
```